# 1
CaRe2As, relaxed, DFT PBE; crystal system = monoclinic; E_form = 42.5 kJ per mole of atoms
1.0
2.705 0.000 0.000
0.000 5.185 0.000
-0.015 0.000 5.059
Ca Re As
1 2 1
Direct
0.000 0.000 0.000 Ca
0.394 0.500 0.747 Re
0.606 0.500 0.253 Re
0.500 0.000 0.500 As

=====

# 2
In3I2Cl4, relaxed, DFT PBE; crystal system = monoclinic; formation energy without anion corrections = -740 meV per atom
1.0
6.912 -8.128 0.000
6.912 8.128 0.000
-4.603 0.000 7.356
In I Cl
6 4 8
Direct
0.043 0.957 0.750 In
0.187 0.492 0.657 In
0.492 0.187 0.157 In
0.508 0.813 0.843 In
0.813 0.508 0.343 In
0.957 0.043 0.250 In
0.139 0.240 0.713 I
0.240 0.139 0.213 I
0.760 0.861 0.787 I
0.861 0.760 0.287 I
0.034 0.650 0.702 Cl
0.333 0.594 0.525 Cl
0.350 0.966 0.798 Cl
0.406 0.667 0.975 Cl
0.594 0.333 0.025 Cl
0.650 0.034 0.202 Cl
0.667 0.406 0.475 Cl
0.966 0.350 0.298 Cl

=====

# 3
CaP2WCl, relaxed, DFT PBE; energy above the most stable polymorph in this dataset = 182.31 kJ/mol of atoms; crystal system = tetragonal; formation energy without anion corrections = 1572 meV per atom
1.0
5.168 0.000 0.000
0.000 5.168 0.000
0.000 0.000 4.760
Ca P W Cl
1 2 1 1
Direct
0.000 0.000 0.000 Ca
0.000 0.500 0.000 P
0.500 0.000 0.000 P
0.500 0.500 0.500 W
0.000 0.000 0.500 Cl

=====

# 4
CoRhS3, relaxed, DFT PBE; energy above the most stable polymorph in this dataset = 9.81 kJ/mol of atoms; crystal system = monoclinic; formation energy without anion corrections = -215 meV per atom
1.0
5.500 -4.943 0.000
5.500 4.943 0.000
-0.783 0.000 6.199
Co Rh S
4 4 12
Direct
0.168 0.312 0.033 Co
0.312 0.168 0.533 Co
0.688 0.832 0.467 Co
0.832 0.688 0.967 Co
0.240 0.760 0.250 Rh
0.398 0.602 0.750 Rh
0.602 0.398 0.250 Rh
0.760 0.240 0.750 Rh
0.079 0.169 0.728 S
0.132 0.602 0.926 S
0.169 0.079 0.228 S
0.310 0.452 0.392 S
0.398 0.868 0.574 S
0.452 0.310 0.892 S
0.548 0.690 0.108 S
0.602 0.132 0.426 S
0.690 0.548 0.608 S
0.831 0.921 0.772 S
0.868 0.398 0.074 S
0.921 0.831 0.272 S

=====

# 5
Nd4CoAu, relaxed, DFT PBE; crystal system = monoclinic; E_form = -25.8 kJ per mole of atoms
1.0
4.405 -6.972 0.000
4.405 6.972 0.000
-3.062 0.000 5.453
Nd Co Au
8 2 2
Direct
0.064 0.694 0.910 Nd
0.211 0.338 0.686 Nd
0.306 0.936 0.590 Nd
0.338 0.211 0.186 Nd
0.662 0.789 0.814 Nd
0.694 0.064 0.410 Nd
0.789 0.662 0.314 Nd
0.936 0.306 0.090 Nd
0.005 0.995 0.750 Co
0.995 0.005 0.250 Co
0.375 0.625 0.250 Au
0.625 0.375 0.750 Au

=====

# 6
KFe2Te, relaxed, DFT PBE; crystal system = monoclinic; formation energy without anion corrections = 515 meV per atom
1.0
4.046 0.000 0.000
0.000 4.655 0.000
-0.628 0.000 5.978
K Fe Te
1 2 1
Direct
0.000 0.000 0.000 K
0.264 0.500 0.597 Fe
0.736 0.500 0.403 Fe
0.500 0.000 0.500 Te

=====

| no. | magnetic moment (μB/f.u.) | D(E_F) (states/eV per cell) |
| --- | --- | --- |
| 1 | 0.00 | 2.36 |
| 2 | 0.00 | 9.64 |
| 3 | 0.10 | 7.10 |
| 4 | 0.00 | 11.18 |
| 5 | 0.00 | 13.47 |
| 6 | 5.24 | 4.62 |